Entry 1:
Below is an optimized crystal structure of FeAu3F, with properties calculated at the PBE with a Hubbard U level.

As for the space group: Pm-3m. The density of states at the Fermi level comes out at 0.799 states/eV/atom. The total moment is 3.2 μB/f.u. Its final energy is -13.994 eV per cell.

Cell lengths 4.8927, 4.8927, 4.8927 Å; angles 90.00, 90.00, 90.00 degrees
Last column: nearest neighbours and their distance in Å.
Fractional coordinates of all 5 atoms:
Fe 0.0000 0.0000 0.0000  6 Au 2.45
Au 0.0000 0.0000 0.5000  2 Fe 2.45
Au 0.0000 0.5000 0.0000  2 Fe 2.45
Au 0.5000 0.0000 0.0000  2 Fe 2.45
F 0.5000 0.5000 0.5000  12 Au 3.46

Entry 2:
Below is an optimized crystal structure of FeAuF3, with properties calculated at the PBE with a Hubbard U level.

As for the space group: Pm-3m. The density of states at the Fermi level comes out at 0.832 states/eV/atom. The total moment is 4.5 μB/f.u. Its final energy is -21.292 eV per cell.

Cell lengths 4.0893, 4.0893, 4.0893 Å; angles 90.00, 90.00, 90.00 degrees
Last column: nearest neighbours and their distance in Å.
Fractional coordinates of all 5 atoms:
Fe 0.0000 0.0000 0.0000  6 F 2.04
Au 0.5000 0.5000 0.5000  12 F 2.89
F 0.0000 0.0000 0.5000  2 Fe 2.04
F 0.0000 0.5000 0.0000  2 Fe 2.04
F 0.5000 0.0000 0.0000  2 Fe 2.04

Entry 3:
Below is an optimized crystal structure of Fe3AuF, with properties calculated at the PBE with a Hubbard U level.

As for the space group: Pm-3m. The density of states at the Fermi level comes out at 0.902 states/eV/atom. The total moment is 10.3 μB/f.u. Its final energy is -20.764 eV per cell.

Cell lengths 4.2361, 4.2361, 4.2361 Å; angles 90.00, 90.00, 90.00 degrees
Last column: nearest neighbours and their distance in Å.
Fractional coordinates of all 5 atoms:
Fe 0.0000 0.0000 0.5000  2 F 2.12
Fe 0.0000 0.5000 0.0000  2 F 2.12
Fe 0.5000 0.0000 0.0000  2 F 2.12
Au 0.5000 0.5000 0.5000  12 Fe 3.00
F 0.0000 0.0000 0.0000  6 Fe 2.12

Entry 4:
Below is an optimized crystal structure of HfFeAu2F, with properties calculated at the PBE with a Hubbard U level.

As for the space group: P4/mmm. The density of states at the Fermi level comes out at 0.434 states/eV/atom. The total moment is 4.0 μB/f.u. Its final energy is -25.911 eV per cell.

Cell lengths 5.3441, 5.3441, 4.0079 Å; angles 90.00, 90.00, 90.00 degrees
Last column: nearest neighbours and their distance in Å.
Fractional coordinates of all 5 atoms:
Hf 0.0000 0.0000 0.0000  2 F 2.00
Fe 0.5000 0.5000 0.5000  8 Au 3.34
Au 0.0000 0.5000 0.0000  2 Hf 2.67
Au 0.5000 0.0000 0.0000  2 Hf 2.67
F 0.0000 0.0000 0.5000  2 Hf 2.00

Entry 5:
Below is an optimized crystal structure of K2FeAuF6, with properties calculated at the PBE with a Hubbard U level.

As for the space group: Fm-3m. The total moment is 5.0 μB/f.u. Its final energy is -44.141 eV per cell.

Cell lengths 6.2264, 6.2264, 6.2264 Å; angles 60.00, 60.00, 60.00 degrees
Last column: nearest neighbours and their distance in Å.
Fractional coordinates of all 10 atoms:
K 0.2500 0.2500 0.2500  12 F 3.12
K 0.7500 0.7500 0.7500  12 F 3.12
Fe 0.0000 0.0000 0.0000  6 F 1.96
Au 0.5000 0.5000 0.5000  6 F 2.45
F 0.2223 0.2223 0.7777  1 Fe 1.96
F 0.2223 0.7777 0.2223  1 Fe 1.96
F 0.2223 0.7777 0.7777  1 Fe 1.96
F 0.7777 0.2223 0.2223  1 Fe 1.96
F 0.7777 0.2223 0.7777  1 Fe 1.96
F 0.7777 0.7777 0.2223  1 Fe 1.96

Entry 6:
Below is an optimized crystal structure of MnFeAuF6, with properties calculated at the PBE with a Hubbard U level.

As for the space group: P-31c. The total moment is 5.9 μB/f.u. Its final energy is -87.033 eV per cell.

Cell lengths 5.4428, 5.4428, 10.3616 Å; angles 90.00, 90.00, 120.00 degrees
Last column: nearest neighbours and their distance in Å.
Fractional coordinates of all 18 atoms:
Mn 0.3333 0.6667 0.2500  6 F 1.93
Mn 0.6667 0.3333 0.7500  6 F 1.93
Fe 0.3333 0.6667 0.7500  6 F 2.11
Fe 0.6667 0.3333 0.2500  6 F 2.11
Au 0.0000 0.0000 0.0000  6 F 2.54
Au 0.0000 0.0000 0.5000  6 F 2.54
F 0.0245 0.3823 0.1485  1 Mn 1.93, 1 Fe 2.11
F 0.0245 0.6422 0.3515  1 Mn 1.93, 1 Fe 2.11
F 0.3578 0.3823 0.3515  1 Mn 1.93, 1 Fe 2.11
F 0.3578 0.9755 0.1485  1 Mn 1.93, 1 Fe 2.11
F 0.3823 0.0245 0.6485  1 Mn 1.93, 1 Fe 2.11
F 0.3823 0.3578 0.8515  1 Mn 1.93, 1 Fe 2.11
F 0.6177 0.6422 0.1485  1 Mn 1.93, 1 Fe 2.11
F 0.6177 0.9755 0.3515  1 Mn 1.93, 1 Fe 2.11
F 0.6422 0.0245 0.8515  1 Mn 1.93, 1 Fe 2.11
F 0.6422 0.6177 0.6485  1 Mn 1.93, 1 Fe 2.11
F 0.9755 0.3578 0.6485  1 Mn 1.93, 1 Fe 2.11
F 0.9755 0.6177 0.8515  1 Mn 1.93, 1 Fe 2.11

Q: Look up the final energy of the first one.
A: -13.994 eV per cell

Q: Which value of total moment does entry 2 give?
A: 4.5 μB/f.u.

Q: Among the records above, which one has the highest total moment?
A: Fe3AuF

Q: Among the records above, which one has the highest total moment?
A: Fe3AuF